No. 1
! PBE Dy2YTmBi5, optimized geometry; values from VASP
! Calculated density   7.92 g cm⁻³
! Formation energy   -0.004 eV per atom
! E_tot   -39.6 eV per cell
&SYSTEM
  ibrav = 0, nat = 9, ntyp = 4
/
ATOMIC_SPECIES
Dy 162.50 Dy.upf
Bi 208.98 Bi.upf
Y 88.91 Y.upf
Tm 168.93 Tm.upf
ATOMIC_POSITIONS angstrom
Dy 2.682 2.682 3.164
Bi 0.000 0.000 2.928
Bi 0.000 2.682 5.932
Y 0.000 0.000 0.000
Dy 2.682 2.682 8.700
Bi 2.682 2.682 0.000
Tm 0.000 0.000 5.932
Bi 0.000 0.000 8.936
Bi 2.682 0.000 5.932
CELL_PARAMETERS angstrom
5.364 0.000 0.000
0.000 5.364 0.000
0.000 0.000 11.864

---

No. 2
! PBE Dy3Y2TmBi6, optimized geometry; values from VASP
! Calculated density   9.14 g cm⁻³
! Formation energy   -0.859 eV per atom
! E_tot   -64.8 eV per cell
&SYSTEM
  ibrav = 0, nat = 12, ntyp = 4
/
ATOMIC_SPECIES
Bi 208.98 Bi.upf
Dy 162.50 Dy.upf
Tm 168.93 Tm.upf
Y 88.91 Y.upf
ATOMIC_POSITIONS angstrom
Bi -4.114 6.163 6.315
Dy -4.296 -2.518 0.443
Dy -3.335 4.360 3.833
Bi -3.833 -4.992 2.379
Tm -1.750 0.804 -1.134
Bi -2.533 2.582 1.336
Bi -5.413 -1.411 7.358
Dy -4.612 -3.189 4.861
Bi -2.858 1.908 5.765
Y -2.063 0.122 3.271
Y -5.884 1.049 5.423
Bi -5.089 -0.737 2.929
CELL_PARAMETERS angstrom
-3.501 1.607 -2.267
-5.092 -6.643 3.153
0.646 6.207 7.809